1.
## NaLa2Dy3Se6 (PBE)

Data for an optimized crystal structure of NaLa2Dy3Se6.

POSCAR file:
```
NaLa2Dy3Se6
1.0
4.147 0.000 0.000
0.000 8.439 0.233
-2.073 -2.504 8.816
Na La Dy Se
1 2 3 6
direct
0.500 0.000 0.000
0.832 0.663 0.663
0.168 0.337 0.337
0.500 0.500 0.000
0.834 0.174 0.667
0.166 0.826 0.333
0.332 0.931 0.663
0.661 0.592 0.322
0.668 0.069 0.337
0.996 0.256 0.993
0.004 0.744 0.007
0.339 0.408 0.678
```

Properties
E	-67.79	eV/cell
mass density	6.740	Mg/m³
SG	C2/m (12)
uncorrected formation energy	-1.825	eV/atom

2.
## Na3La2DySe6 (PBE)

Data for an optimized crystal structure of Na3La2DySe6.

POSCAR file:
```
Na3La2DySe6
1.0
7.456 -0.001 -0.001
-3.727 6.458 -0.001
-1.245 -2.156 6.981
Na La Dy Se
3 2 1 6
direct
0.167 0.833 0.500
0.833 0.167 0.500
0.500 0.500 0.500
0.333 0.667 0.000
0.667 0.333 0.000
0.000 0.000 0.000
0.922 0.600 0.765
0.756 0.756 0.233
0.078 0.400 0.235
0.600 0.922 0.765
0.244 0.244 0.767
0.400 0.078 0.235
```

Properties
E	-60.15	eV/cell
mass density	4.857	Mg/m³
SG	C2/m (12)
uncorrected formation energy	-1.735	eV/atom